VPO3: optimized geometry, PBE with a Hubbard U.

Properties
E_tot, eV/f.u.: -36.065
Crystal system: monoclinic

a = 6.6658 Å, b = 6.6658 Å, c = 6.5557 Å
α = 111.72°, β = 111.72°, γ = 80.18°
With the nearest neighbours (Å) after each atom.
Element x y z (fractional)
1 V 0.1159 0.8841 0.7500  6 O 2.19-2.42
2 V 0.2649 0.7351 0.2500  6 O 2.11-2.25
3 V 0.7351 0.2649 0.7500  6 O 2.11-2.25
4 V 0.8841 0.1159 0.2500  6 O 2.19-2.42
5 P 0.2439 0.3544 0.8180  3 O 1.56-1.61
6 P 0.3544 0.2439 0.3180  3 O 1.56-1.61
7 P 0.6456 0.7561 0.6820  3 O 1.56-1.61
8 P 0.7561 0.6456 0.1820  3 O 1.56-1.61
9 O 0.0360 0.2067 0.6684  1 P 1.61
10 O 0.1757 0.5999 0.8599  1 P 1.57
11 O 0.2067 0.0360 0.1684  1 P 1.61
12 O 0.2754 0.3963 0.1682  1 P 1.56
13 O 0.3963 0.2754 0.6682  1 P 1.56
14 O 0.4001 0.8243 0.6401  1 P 1.57
15 O 0.5999 0.1757 0.3599  1 P 1.57
16 O 0.6037 0.7246 0.3318  1 P 1.56
17 O 0.7246 0.6037 0.8318  1 P 1.56
18 O 0.7933 0.9640 0.8316  1 P 1.61
19 O 0.8243 0.4001 0.1401  1 P 1.57
20 O 0.9640 0.7933 0.3316  1 P 1.61